# 1
CaAcRhO6: optimized geometry, GGA-PBE.

magnetic moment: 2.00 μB per formula unit
formation energy from raw total energies: -1.698 eV per atom
density of states at the Fermi level: 7.24 states/eV per cell
total energy: -6.50 eV per atom

Cell: 5.6121 5.6121 5.1558 Å, 90.00 90.00 120.00°
Last column: nearest neighbours and their distance in Å.
Space group P312 (No. 149)
One atom of each set of equivalent atoms:
Ca: 0.0000 0.0000 0.0000 x1  6 O 2.31
Ac: 0.6667 0.3333 0.5000 x1  6 O 2.51
Rh: 0.3333 0.6667 0.0000 x1  6 O 1.94
O: 0.0510 0.3825 0.2160 x6  1 Rh 1.94

=====

# 2
Ca2AcRhO5: optimized geometry, GGA-PBE.

magnetic moment: 0.00 μB per formula unit
formation energy from raw total energies: -2.365 eV per atom
density of states at the Fermi level: 2.36 states/eV per cell
total energy: -6.84 eV per atom

Cell: 3.9046 5.6747 11.3691 Å, 90.00 90.00 90.00°
Last column: nearest neighbours and their distance in Å.
Space group Immm (No. 71)
One atom of each set of equivalent atoms:
Ca: 0.0000 0.0000 0.2062 x4  7 O 2.31-2.57
Ac: 0.0000 0.5000 0.0000 x2  10 O 2.83-2.84
Rh: 0.0000 0.5000 0.5000 x2  6 O 1.95-2.08
O: 0.0000 0.0000 0.0000 x2  2 Rh 1.95
O: 0.0000 0.2454 0.3683 x8  1 Rh 2.08, 1 Ca 2.31

=====

Q: What is the formula in the first record?
A: CaAcRhO6

=====

Q: Which of these has the lowest total energy?
A: Ca2AcRhO5